Here is MgCr2CF after structural relaxation from Alexandria via LeMat-Bulk. Energies are from PBE+U.

Cell lengths 3.945, 5.506, 3.945 Å; angles 90.00, 90.00, 90.00 degrees
Each line ends with the local moment (μB).
Atoms (fractional coordinates):
C  0.000  0.000  0.000  -0.46
F  0.000  0.500  0.000  -0.01
Mg  0.500  0.500  0.500  -0.03
Cr  0.500  0.000  0.000  3.36
Cr  0.000  0.000  0.500  3.78

Output
- Calculated volume: 85.7 Å³/f.u.
- Total magnetization: 7.0 μB/f.u.
- Symmetry: P4/mmm, No. 123
- VASP energy: -5.346 eV/atom
- DOS at the Fermi energy: 0.73 states/eV/cell